Entry from the Alexandria database: crystalline KRe2AsIr at its relaxed geometry (PBE).

Geometry as extended XYZ:
```
5
Lattice="4.474 0.000 0.000 0.000 4.474 0.000 0.000 0.000 4.792" Properties=species:S:1:pos:R:3 pbc="T T T"
K 0.000 0.000 0.000
Re 0.000 2.237 0.000
Re 2.237 0.000 0.000
As 0.000 0.000 2.396
Ir 2.237 2.237 2.396
```

Values from the calculation:
For the formation enthalpy at 0 K, the calculation gives 3.62 eV/atom. The value obtained for the density of states at the Fermi level is 1.098 states/eV per atom. As for the space-group type: P4/mmm (123). Its crystal system is tetragonal. The calculation puts the total magnetization at 0.00 Bohr magnetons per cell. For the total energy, the calculation gives -21.40 eV/cell.

---

Entry from the Alexandria database: crystalline ZrAlPAu2 at its relaxed geometry (PBE).

Geometry as extended XYZ:
```
5
Lattice="4.615 0.000 0.000 0.000 4.615 0.000 0.000 0.000 5.263" Properties=species:S:1:pos:R:3 pbc="T T T"
Zr 0.000 0.000 0.000
Al 0.000 0.000 2.632
P 2.307 2.307 0.000
Au 0.000 2.307 2.632
Au 2.307 0.000 2.632
```

Values from the calculation:
For the formation enthalpy at 0 K, the calculation gives 0.50 eV/atom. The value obtained for the density of states at the Fermi level is 0.510 states/eV per atom. As for the space-group type: P4/mmm (123). Its crystal system is tetragonal. The calculation puts the total magnetization at 0.00 Bohr magnetons per cell. For the total energy, the calculation gives -21.75 eV/cell.

---

Entry from the Alexandria database: crystalline Nd3Sm7Y at its relaxed geometry (PBE).

Geometry as extended XYZ:
```
11
Lattice="-2.979 5.677 5.696 2.979 -5.677 5.696 2.979 5.677 -5.696" Properties=species:S:1:pos:R:3 pbc="T T T"
Nd 0.000 0.000 0.000
Nd 2.979 2.393 0.000
Nd 0.000 3.284 5.696
Sm 2.979 -3.386 3.406
Sm 2.979 0.000 2.359
Sm 0.000 2.291 2.291
Sm 0.000 0.000 5.696
Sm 2.979 3.386 3.406
Sm 0.000 5.677 3.337
Sm 0.000 9.062 2.291
Y 0.000 5.677 0.000
```

Values from the calculation:
For the formation enthalpy at 0 K, the calculation gives 0.24 eV/atom. The value obtained for the density of states at the Fermi level is 1.493 states/eV per atom. As for the space-group type: Immm (71). Its crystal system is orthorhombic. The calculation puts the total magnetization at 0.21 Bohr magnetons per cell. For the total energy, the calculation gives -51.17 eV/cell.

---

Entry from the Alexandria database: crystalline TaNi2Rh at its relaxed geometry (PBE).

Geometry as extended XYZ:
```
4
Lattice="-1.874 1.874 3.805 1.874 -1.874 3.805 1.874 1.874 -3.805" Properties=species:S:1:pos:R:3 pbc="T T T"
Ta 0.000 0.000 0.000
Ni 0.000 0.000 3.805
Ni 0.000 1.874 1.903
Rh 1.874 0.000 1.903
```

Values from the calculation:
For the formation enthalpy at 0 K, the calculation gives -0.41 eV/atom. The value obtained for the density of states at the Fermi level is 0.743 states/eV per atom. As for the space-group type: I-4m2 (119). Its crystal system is tetragonal. The calculation puts the total magnetization at 0.00 Bohr magnetons per cell. For the total energy, the calculation gives -32.40 eV/cell.

---

Entry from the Alexandria database: crystalline Sc2Be3AlPt4 at its relaxed geometry (PBE).

Geometry as extended XYZ:
```
10
Lattice="3.943 0.000 0.000 0.000 3.943 0.000 0.000 0.000 9.738" Properties=species:S:1:pos:R:3 pbc="T T T"
Sc 0.000 1.972 2.307
Sc 1.972 0.000 7.431
Be 0.000 1.972 8.560
Be 1.972 0.000 1.178
Be 1.972 1.972 4.869
Al 0.000 0.000 4.869
Pt 0.000 0.000 0.000
Pt 0.000 1.972 6.315
Pt 1.972 0.000 3.423
Pt 1.972 1.972 0.000
```

Values from the calculation:
For the formation enthalpy at 0 K, the calculation gives -0.90 eV/atom. The value obtained for the density of states at the Fermi level is 0.472 states/eV per atom. As for the space-group type: P-4m2 (115). Its crystal system is tetragonal. The calculation puts the total magnetization at 0.00 Bohr magnetons per cell. For the total energy, the calculation gives -60.76 eV/cell.

---

Entry from the Alexandria database: crystalline LiBe3Pt2 at its relaxed geometry (PBE).

Geometry as extended XYZ:
```
6
Lattice="5.093 0.000 0.000 -2.546 4.411 0.000 0.000 0.000 3.535" Properties=species:S:1:pos:R:3 pbc="T T T"
Li 0.000 0.000 0.000
Be -1.273 2.205 0.000
Be 2.546 0.000 0.000
Be 1.273 2.205 0.000
Pt 0.000 2.940 1.767
Pt 2.546 1.470 1.767
```

Values from the calculation:
For the formation enthalpy at 0 K, the calculation gives -0.39 eV/atom. The value obtained for the density of states at the Fermi level is 0.176 states/eV per atom. As for the space-group type: P6/mmm (191). Its crystal system is hexagonal. The calculation puts the total magnetization at 0.00 Bohr magnetons per cell. For the total energy, the calculation gives -27.53 eV/cell.

---

Entry from the Alexandria database: crystalline Ba4TlFe at its relaxed geometry (PBE).

Geometry as extended XYZ:
```
6
Lattice="0.000 5.119 5.119 5.119 0.000 5.119 5.119 5.119 0.000" Properties=species:S:1:pos:R:3 pbc="T T T"
Ba 1.278 1.278 1.278
Ba 3.841 3.841 1.278
Ba 3.841 1.278 3.841
Ba 1.278 3.841 3.841
Tl 5.119 5.119 5.119
Fe 7.679 7.679 7.679
```

Values from the calculation:
For the formation enthalpy at 0 K, the calculation gives 0.78 eV/atom. The value obtained for the density of states at the Fermi level is 1.595 states/eV per atom. As for the space-group type: F-43m (216). Its crystal system is cubic. The calculation puts the total magnetization at 2.85 Bohr magnetons per cell. For the total energy, the calculation gives -13.85 eV/cell.